Entry 1:
The following is a PBE calculation of crystalline Ho3Mg2Tc at its relaxed geometry, from the Alexandria database.

POSCAR file:
```
Ho3Mg2Tc
1.0
5.021 0.000 0.022
2.511 7.447 0.011
-0.034 0.000 7.947
Ho Mg Tc
6 4 2
direct
0.825 0.350 0.791
0.500 0.000 0.218
0.175 0.650 0.209
0.825 0.350 0.209
0.175 0.650 0.791
0.500 0.000 0.782
0.000 0.000 0.000
0.000 0.000 0.500
0.334 0.331 0.500
0.666 0.669 0.500
0.340 0.320 0.000
0.660 0.680 0.000
```

Computed properties:
The value obtained for the volume is 148.6 Å³/f.u. The energy relative to the elements comes out at -90 meV/atom.

=====

Entry 2:
The following is a PBE calculation of crystalline RbReN2 at its relaxed geometry, from the Alexandria database.

POSCAR file:
```
RbReN2
1.0
-4.303 0.937 6.130
-2.390 3.374 6.315
-4.917 3.518 4.518
Re Rb N
1 1 2
direct
0.500 0.500 0.500
0.000 0.000 0.000
0.883 0.883 0.883
0.117 0.117 0.117
```

Computed properties:
Its uncorrected formation energy is 0.523 eV/atom. The value obtained for the volume is 61.2 Å³/f.u. As for the energy above the lowest structure with this stoichiometry: 0.719 eV/atom.

=====

Entry 3:
The following is a PBE calculation of crystalline Cs2ZnAuF6 at its relaxed geometry, from the Alexandria database.

POSCAR file:
```
Cs2ZnAuF6
1.0
6.142 0.000 0.000
0.000 6.142 0.000
3.072 3.072 4.982
Cs Zn Au F
2 1 1 6
direct
0.750 0.250 0.500
0.250 0.750 0.500
0.000 0.000 0.000
0.500 0.500 0.000
0.192 0.192 0.616
0.747 0.747 0.000
0.253 0.747 0.000
0.747 0.253 0.000
0.253 0.253 0.000
0.808 0.808 0.384
```

Computed properties:
Its uncorrected formation energy is -2.096 eV/atom. The value obtained for the volume is 187.9 Å³/f.u.

=====

Entry 4:
The following is a PBE calculation of crystalline TaCoAg2 at its relaxed geometry, from the Alexandria database.

POSCAR file:
```
TaCoAg2
1.0
5.166 0.008 0.000
2.417 4.565 0.000
-3.791 -2.287 2.661
Ag Co Ta
2 1 1
direct
0.000 0.000 0.000
0.500 0.500 0.000
0.250 0.750 0.500
0.750 0.250 0.500
```

Computed properties:
The value obtained for the volume is 62.7 Å³/f.u. As for the energy above the lowest structure with this stoichiometry: 0.204 eV/atom. The energy relative to the elements comes out at 359 meV/atom.

=====

| no. | total magnetic moment (μB/atom) |
| --- | --- |
| 1 | 0.000 |
| 2 | 0.000 |
| 3 | 0.101 |
| 4 | 0.000 |